# Ga3SnN

An optimized crystal structure of Ga3SnN (PBE, Alexandria via LeMat-Bulk).

Properties
Its total magnetization is 0.00 Bohr magnetons per cell. For the relative energy among the computed polymorphs, the calculation gives 0.0 meV/atom.

Cell: 4.430 4.430 4.430 Å, 90.00 90.00 90.00°
Element x y z (fractional)
Ga 0.000 0.000 0.500
Ga 0.000 0.500 0.000
Ga 0.500 0.000 0.000
Sn 0.500 0.500 0.500
N 0.000 0.000 0.000